P | Below is a geometry-optimized MnTeIr3 structure, with properties calculated at the PBE level.

Output
M_tot = 6.07 μB per formula unit

Cell lengths 4.8368, 4.8368, 4.8368 Å; angles 90.00, 90.00, 90.00 degrees
Last column: nearest neighbours and their distance in Å.
Space group Pm-3m (No. 221)
Inequivalent atoms, fractional coordinates:
Mn 0.0000 0.0000 0.0000 [1 per cell]  12 Ir 3.42
Te 0.5000 0.5000 0.5000 [1 per cell]  6 Ir 2.42
Ir 0.0000 0.5000 0.5000 [3 per cell]  2 Te 2.42

---

Q | Below is a geometry-optimized MnTeIr3 structure, with properties calculated at the PBE level.

Output
M_tot = 0.00 μB per formula unit

Cell lengths 4.5310, 4.5310, 4.5310 Å; angles 90.00, 90.00, 90.00 degrees
Last column: nearest neighbours and their distance in Å.
Space group Pm-3m (No. 221)
Inequivalent atoms, fractional coordinates:
Mn 0.0000 0.0000 0.0000 [1 per cell]  6 Ir 2.27
Te 0.5000 0.5000 0.5000 [1 per cell]  12 Ir 3.20
Ir 0.0000 0.0000 0.5000 [3 per cell]  2 Mn 2.27

---

Stability check: which of them is most stable? Q.

---

P | Below is a geometry-optimized MnTe4Ir structure, with properties calculated at the PBE level.

Output
M_tot = 3.93 μB per formula unit

Cell lengths 8.6485, 8.6485, 8.6485 Å; angles 90.00, 90.00, 90.00 degrees
Last column: nearest neighbours and their distance in Å.
Space group F-43m (No. 216)
Inequivalent atoms, fractional coordinates:
Mn 0.0000 0.0000 0.0000 [4 per cell]  12 Te 3.59, 4 Ir 3.74
Te 0.1243 0.1243 0.6243 [16 per cell]  6 Te 3.04-3.07
Ir 0.2500 0.2500 0.2500 [4 per cell]  12 Te 3.58, 4 Mn 3.74

---

Q | Below is a geometry-optimized MnTe4Ir structure, with properties calculated at the PBE level.

Output
M_tot = 2.84 μB per formula unit

Cell lengths 5.7175, 3.9892, 6.8218 Å; angles 90.00, 90.13, 90.00 degrees
Last column: nearest neighbours and their distance in Å.
Space group P2/m (No. 10)
Inequivalent atoms, fractional coordinates:
Mn 0.0000 0.0000 0.0000 [1 per cell]  6 Te 2.70-2.72
Te 0.2478 0.0000 0.3403 [2 per cell]  2 Ir 2.68, 1 Mn 2.72
Te 0.2488 0.5000 0.8335 [2 per cell]  1 Ir 2.68, 2 Mn 2.70
Ir 0.0000 0.5000 0.5000 [1 per cell]  6 Te 2.68

---

Stability check: which of them is most stable? Q.

---

P | Below is a geometry-optimized TiMn2Ir2 structure, with properties calculated at the PBE level.

Output
M_tot = 0.68 μB per formula unit

Cell lengths 7.2174, 7.2174, 2.6731 Å; angles 90.00, 90.00, 90.00 degrees
Last column: nearest neighbours and their distance in Å.
Space group P4/mbm (No. 127)
Inequivalent atoms, fractional coordinates:
Ti 0.0000 0.0000 0.0000 [2 per cell]  2 Ti 2.67, 4 Ir 2.83, 8 Mn 2.99
Mn 0.1701 0.3299 0.5000 [4 per cell]  6 Ir 2.45-2.56, 2 Mn 2.67
Ir 0.1290 0.6290 0.0000 [4 per cell]  6 Mn 2.45-2.56, 3 Ir 2.63-2.67

---

Q | Below is a geometry-optimized TiMn2Ir2 structure, with properties calculated at the PBE level.

Output
M_tot = 0.00 μB per formula unit

Cell lengths 7.1423, 7.1423, 2.6825 Å; angles 90.00, 90.00, 90.00 degrees
Last column: nearest neighbours and their distance in Å.
Space group P4/mbm (No. 127)
Inequivalent atoms, fractional coordinates:
Ti 0.0000 0.0000 0.0000 [2 per cell]  2 Ti 2.68, 4 Mn 2.86, 8 Ir 2.95
Mn 0.1174 0.3826 0.0000 [4 per cell]  1 Mn 2.37, 6 Ir 2.47-2.53
Ir 0.1768 0.6768 0.5000 [4 per cell]  6 Mn 2.47-2.53, 2 Ir 2.68

---

Stability check: which of them is most stable? Q.

---

P | Below is a geometry-optimized Ti2Mn2Ir structure, with properties calculated at the PBE level.

Output
M_tot = 0.00 μB per formula unit

Cell lengths 3.5129, 13.7133, 2.8827 Å; angles 90.00, 90.00, 90.00 degrees
Last column: nearest neighbours and their distance in Å.
Space group Cmmm (No. 65)
Inequivalent atoms, fractional coordinates:
Ti 0.0000 0.1111 0.0000 [4 per cell]  6 Mn 2.63-2.87, 4 Ir 2.74, 2 Ti 2.88
Mn 0.0000 0.2921 0.5000 [4 per cell]  2 Mn 2.10
Ir 0.0000 0.5000 0.5000 [2 per cell]  8 Ti 2.74, 2 Mn 2.85, 2 Ir 2.88

---

Q | Below is a geometry-optimized Ti2Mn2Ir structure, with properties calculated at the PBE level.

Output
M_tot = 0.00 μB per formula unit

Cell lengths 6.1706, 6.1706, 3.7667 Å; angles 90.00, 90.00, 90.00 degrees
Last column: nearest neighbours and their distance in Å.
Space group P4/mbm (No. 127)
Inequivalent atoms, fractional coordinates:
Ti 0.1831 0.3169 0.0000 [4 per cell]  6 Mn 2.59-2.66
Mn 0.1138 0.6138 0.5000 [4 per cell]  1 Mn 1.99
Ir 0.0000 0.0000 0.5000 [2 per cell]  4 Mn 2.48

---

Stability check: which of them is most stable? P.